(1)
# ReSb2Br

Crystalline ReSb2Br at its relaxed geometry (GGA-PBE, Alexandria).

Results
- Magnetic moment: 0.000 μB/f.u.
- Total DFT energy (no corrections): -5.01 eV/atom

Cell: 3.1679 3.1679 9.5070 Å, 90.00 90.00 90.00°
Closest atoms and distances in Å follow each position.
Space group P4mm (No. 99)
One atom of each set of equivalent atoms:
Re: 0.0000 0.0000 0.0000  4 Sb 2.81, 4 Br 2.81
Sb: 0.0000 0.0000 0.4812  4 Sb 3.17
Sb: 0.5000 0.5000 0.1785  4 Re 2.81
Br: 0.5000 0.5000 0.8214  4 Re 2.81

---

(2)
# TbGaPt

Crystalline TbGaPt at its relaxed geometry (GGA-PBE, Alexandria).

Results
- Magnetic moment: 0.000 μB/f.u.
- Total DFT energy (no corrections): -5.68 eV/atom

Cell: 6.9217 4.4526 7.7319 Å, 90.00 90.00 90.00°
Closest atoms and distances in Å follow each position.
Space group Pnma (No. 62)
One atom of each set of equivalent atoms:
Tb: 0.0159 0.2500 0.1985  5 Pt 2.90-3.10, 6 Ga 3.10-3.25
Ga: 0.1709 0.2500 0.5749  4 Pt 2.62-2.75
Pt: 0.2261 0.7500 0.4023  4 Ga 2.62-2.75, 1 Tb 2.90